## Sr2TaOs (PBE)

Data for a relaxed Sr2TaOs crystal.

```
Sr2TaOs
1.0
9.515 0.003 0.007
8.912 3.332 0.007
0.859 0.155 3.963
Sr Ta Os
2 1 1
Direct
0.601 0.601 0.398
0.899 0.899 0.102
0.750 0.750 0.750
0.250 0.250 0.250
```

Computed properties:
energy of formation from the pure elements	38	kJ per mole of atoms
magnetization	0.36	μB per formula unit
volume	126	Å³/f.u.
polymorph energy (0 for the lowest one)	130.3	meV per atom
DOS(E_F)	4.77	states/eV/cell
total DFT energy (no corrections)	-24.89	eV/cell